This record from Alexandria describes crystalline TcSnIr at its relaxed geometry. The functional is PBE.

Output
Theoretical density = 13.564 g/cm³
Energy relative to the elements = 0.220 eV per formula unit
Volume = 16.69 Å³ per atom
Calculated total energy = -7.670 eV per atom
Energy above the lowest structure with this stoichiometry = 0.061 eV/atom
Space group = No. 6

abc: 4.9874 2.9546 7.1053
angles: 90.00 107.01 90.00
Atoms (fractional coordinates):
1 Tc 0.0000 0.0000 0.0000
2 Tc 0.1519 0.0000 0.6401
3 Sn 0.4193 0.0000 0.3519
4 Sn 0.4710 0.5000 0.9595
5 Ir 0.7352 0.5000 0.6731
6 Ir 0.8873 0.5000 0.3108